Record 1
The following is a DFT calculation (PBE) of crystalline Ho8CoTc2 at its relaxed geometry.

Cell: 8.2963 12.7194 5.7541 Å, 90.00 111.92 90.00°
Space group Cm (No. 8)
Unique sites:
Ho: 0.0000 0.0000 0.0000 x2
Ho: 0.0757 0.3685 0.8134 x4
Ho: 0.1509 0.1287 0.5963 x4
Ho: 0.2157 0.5000 0.3933 x2
Ho: 0.3658 0.2034 0.2045 x4
Co: 0.3554 0.0000 0.1708 x2
Tc: 0.3541 0.3072 0.6858 x4

Output
Electronic total energy (eV/atom): -5.882
Magnetic moment (μB/f.u.): 0.00


Record 2
The following is a DFT calculation (PBE) of crystalline Ho2CoTc at its relaxed geometry.

Cell: 3.3968 3.3968 6.7001 Å, 90.00 90.00 90.00°
Space group P4/mmm (No. 123)
Unique sites:
Ho: 0.0000 0.0000 0.2458 x2
Co: 0.5000 0.5000 0.0000 x1
Tc: 0.5000 0.5000 0.5000 x1

Output
Electronic total energy (eV/atom): -6.652
Magnetic moment (μB/f.u.): 1.29


Record 3
The following is a DFT calculation (PBE) of crystalline Ho4CoTc at its relaxed geometry.

Cell: 8.9659 8.9659 8.0345 Å, 90.00 90.00 90.00°
Space group I4_1md (No. 109)
Unique sites:
Ho: 0.0000 0.2943 0.0000 x8
Ho: 0.0000 0.3014 0.4952 x8
Co: 0.0000 0.0000 0.9938 x4
Tc: 0.0000 0.0000 0.5047 x4

Output
Electronic total energy (eV/atom): -5.912
Magnetic moment (μB/f.u.): 0.00